Compound: GeRhCl3
Source: Alexandria via LeMat-Bulk
Functional: PBE
Structure: relaxed

```
GeRhCl3
1.0
-0.944 -3.977 -3.021
0.890 -3.159 3.881
-4.914 0.192 1.283
Ge Rh Cl
1 1 3
direct
0.000 0.000 0.000 Ge
0.500 0.500 0.500 Rh
0.000 0.500 0.000 Cl
0.000 0.000 0.500 Cl
0.500 0.000 0.000 Cl
```

Summary:
Formation energy from raw total energies in meV per atom: 228
Space-group type: Pm-3m (221)
Excess energy over the best structure of this formula in the dataset in meV per atom: 253.7